[1]
Compound: Nb2C
Source: OQMD
Functional: PBE
Structure: optimized geometry

## Properties
The uncorrected energy is -30.8 eV per cell.

Cell lengths 3.1453, 3.1453, 4.9965 Å; angles 90.00, 90.00, 120.00 degrees
Sites, in units of the cell vectors:
Nb 0.3334 0.6667 0.2508
Nb 0.6666 0.3333 0.7492
C 0.0000 0.0000 0.0000

[2]
Compound: Al2NiAu
Source: OQMD
Functional: PBE
Structure: optimized geometry

## Properties
The uncorrected energy is -17.1 eV per cell.

Cell lengths 4.3660, 4.3660, 4.3660 Å; angles 60.00, 60.00, 60.00 degrees
Sites, in units of the cell vectors:
Au 0.5000 0.5000 0.5000
Al 0.0000 0.0000 0.0000
Ni 0.7500 0.7500 0.7500
Al 0.2500 0.2500 0.2500

[3]
Compound: AlAsAuO
Source: OQMD
Functional: PBE
Structure: optimized geometry

## Properties
The uncorrected energy is -32.7 eV per cell.

Cell lengths 4.2352, 4.2352, 8.5708 Å; angles 90.00, 90.00, 90.00 degrees
Sites, in units of the cell vectors:
As 0.7500 0.7500 0.3309
O 0.2500 0.7500 0.0000
Al 0.7500 0.2500 0.5000
O 0.7500 0.2500 0.0000
Au 0.2500 0.2500 0.0567
Al 0.2500 0.7500 0.5000
Au 0.7500 0.7500 0.9433
As 0.2500 0.2500 0.6691

[4]
Compound: TmHIBr
Source: OQMD
Functional: PBE
Structure: optimized geometry

## Properties
The uncorrected energy is -32.6 eV per cell.

Cell lengths 3.8594, 3.8594, 15.8975 Å; angles 90.00, 90.00, 120.00 degrees
Sites, in units of the cell vectors:
H 0.0000 0.0000 0.5000
I 0.3333 0.6667 0.6329
Br 0.0000 0.0000 0.8824
Br 0.0000 0.0000 0.1176
I 0.3333 0.6667 0.3671
H 0.3333 0.6667 0.0000
Tm 0.6667 0.3333 0.5000
Tm 0.6667 0.3333 0.0000

[5]
Compound: Dy6GePd2
Source: OQMD
Functional: PBE
Structure: optimized geometry

## Properties
The uncorrected energy is -47.6 eV per cell.

Cell lengths 7.8535, 7.8535, 4.2974 Å; angles 90.00, 90.00, 120.00 degrees
Sites, in units of the cell vectors:
Ge 0.0000 0.0000 0.5000
Dy 0.0000 0.7350 0.0000
Dy 0.3976 0.0000 0.5000
Pd 0.3333 0.6667 0.0000
Dy 0.2650 0.2650 0.0000
Dy 0.6024 0.6024 0.5000
Dy 0.0000 0.3976 0.5000
Pd 0.6667 0.3333 0.0000
Dy 0.7350 0.0000 0.0000

[6]
Compound: Pr2Sm2CI2Br3
Source: OQMD
Functional: PBE
Structure: optimized geometry

## Properties
The uncorrected energy is -49.4 eV per cell.

Cell lengths 9.7082, 9.7082, 8.4365 Å; angles 102.68, 102.68, 23.65 degrees
Sites, in units of the cell vectors:
Sm 0.0003 0.0003 0.7968
C 0.5000 0.5000 0.0000
I 0.8305 0.8305 0.1989
Br 0.1566 0.1566 0.3460
Br 0.5000 0.5000 0.5000
Sm 0.9997 0.9997 0.2032
Pr 0.3621 0.3621 0.9252
Br 0.8434 0.8434 0.6540
I 0.1695 0.1695 0.8011
Pr 0.6379 0.6379 0.0748

[7]
Compound: Pr3Mg3ZnIn2
Source: OQMD
Functional: PBE
Structure: optimized geometry

## Properties
The uncorrected energy is -29.1 eV per cell.

Cell lengths 7.6758, 7.6758, 4.7506 Å; angles 90.00, 90.00, 120.00 degrees
Sites, in units of the cell vectors:
Pr 0.4087 0.0000 0.0000
Pr 0.0000 0.4087 0.0000
Mg 0.2352 0.2352 0.5000
In 0.6667 0.3333 0.5000
Pr 0.5913 0.5913 0.0000
Mg 0.7648 0.0000 0.5000
In 0.3333 0.6667 0.5000
Mg 0.0000 0.7648 0.5000
Zn 0.0000 0.0000 0.0000

[8]
Compound: ZrNb
Source: OQMD
Functional: PBE
Structure: optimized geometry

## Properties
The uncorrected energy is -110.8 eV per cell. The formation energy comes out at 16.5 kJ/mol of formula units.

Cell lengths 7.5407, 6.9014, 4.8534 Å; angles 90.00, 90.00, 103.30 degrees
Sites, in units of the cell vectors:
Nb 0.6056 0.8922 0.5000
Zr 0.2846 0.0824 0.5000
Zr 0.9128 0.2236 0.5000
Nb 0.6066 0.6423 0.0000
Zr 0.9439 0.4966 0.0000
Zr 0.3094 0.8320 0.0000
Nb 0.6156 0.4133 0.5000
Zr 0.9376 0.9731 0.0000
Nb 0.9195 0.7318 0.5000
Nb 0.3027 0.3238 0.0000
Zr 0.2783 0.5590 0.5000
Nb 0.6166 0.1633 0.0000

[9]
Compound: MgCdCoBi
Source: OQMD
Functional: PBE
Structure: optimized geometry

## Properties
The uncorrected energy is -12.4 eV per cell.

Cell lengths 4.8084, 4.8084, 4.8084 Å; angles 60.00, 60.00, 60.00 degrees
Sites, in units of the cell vectors:
Bi 0.0000 0.0000 0.0000
Cd 0.5000 0.5000 0.5000
Co 0.7500 0.7500 0.7500
Mg 0.2500 0.2500 0.2500

[10]
Compound: Nd3GaN3
Source: OQMD
Functional: PBE
Structure: optimized geometry

## Properties
The uncorrected energy is -97.9 eV per cell.

Cell lengths 7.4312, 7.4312, 5.1096 Å; angles 90.00, 90.00, 120.00 degrees
Sites, in units of the cell vectors:
Ga 0.3333 0.6667 0.2500
Nd 0.7256 0.0883 0.2500
N 0.0809 0.3805 0.2500
Nd 0.9117 0.6373 0.2500
Ga 0.6667 0.3333 0.7500
Nd 0.2744 0.9117 0.7500
Nd 0.3627 0.2744 0.2500
N 0.7004 0.0809 0.7500
N 0.9191 0.6195 0.7500
Nd 0.6373 0.7256 0.7500
N 0.3805 0.2996 0.7500
Nd 0.0883 0.3627 0.7500
N 0.6195 0.7004 0.2500
N 0.2996 0.9191 0.2500

[11]
Compound: Y3Mg3HgPt2
Source: OQMD
Functional: PBE
Structure: optimized geometry

## Properties
The uncorrected energy is -43.2 eV per cell.

Cell lengths 7.4862, 7.4862, 4.1105 Å; angles 90.00, 90.00, 120.00 degrees
Sites, in units of the cell vectors:
Y 0.4202 0.4202 0.5000
Pt 0.3333 0.6667 0.0000
Hg 0.0000 0.0000 0.5000
Mg 0.2571 0.0000 0.0000
Y 0.0000 0.5798 0.5000
Mg 0.7429 0.7429 0.0000
Pt 0.6667 0.3333 0.0000
Y 0.5798 0.0000 0.5000
Mg 0.0000 0.2571 0.0000

[12]
Compound: Al3W10
Source: OQMD
Functional: PBE
Structure: optimized geometry

## Properties
The uncorrected energy is -138.6 eV per cell.

Cell lengths 9.6579, 9.6579, 9.6579 Å; angles 31.02, 31.02, 31.02 degrees
Sites, in units of the cell vectors:
W 0.0904 0.0904 0.5865
W 0.4135 0.9096 0.9096
W 0.6460 0.6460 0.6460
Al 0.0000 0.0000 0.0000
W 0.9096 0.4135 0.9096
W 0.5865 0.0904 0.0904
Al 0.4539 0.4539 0.4539
W 0.9096 0.9096 0.4135
W 0.0904 0.5865 0.0904
W 0.8331 0.8331 0.8331
W 0.3540 0.3540 0.3540
W 0.1669 0.1669 0.1669
Al 0.5461 0.5461 0.5461

uncorrected energy of number 8 (ZrNb)? -110.8 eV per cell

Which value of uncorrected energy does entry 1 give? -30.8 eV per cell